A relaxed structure of NaMoOs2, computed with PBE.

Structure (CIF):
```
data_NaMoOs2
_chemical_formula_sum 'Na4 Mo4 Os8'
_cell_length_a 7.3425
_cell_length_b 7.3425
_cell_length_c 5.3606
_cell_angle_alpha 90.00
_cell_angle_beta 90.00
_cell_angle_gamma 90.00
_symmetry_space_group_name_H-M 'I -4 2 d'
_symmetry_Int_Tables_number 122
_symmetry_space_group_name_Hall 'I -4 2bw'
loop_
_atom_site_label
_atom_site_type_symbol
_atom_site_fract_x
_atom_site_fract_y
_atom_site_fract_z
Na1 Na 0.0000 0.0000 0.0000
Mo1 Mo 0.0000 0.0000 0.5000
Os1 Os 0.2006 0.2500 0.6250
```

Results
The total magnetization is 0.00 μB per cell. The density of states at the Fermi level is 13.5 states/eV per cell. The formation energy comes out at 1.116 eV/atom.